1.
Computed, not measured: a relaxed Ta4FeW3 crystal at the GGA-PBE level of DFT.

abc: 3.215 4.536 9.041
angles: 90.00 90.00 90.00
Site moments in Bohr magnetons follow the coordinates.
Atoms (fractional coordinates):
Ta 0.000 0.500 0.241  -0.04
Ta 0.000 0.000 0.500  -0.01
W 0.500 0.000 0.755  0.00
Ta 0.000 0.500 0.759  -0.04
W 0.500 0.500 0.500  -0.01
Ta 0.000 0.000 0.000  -0.07
W 0.500 0.000 0.245  0.00
Fe 0.500 0.500 0.000  0.58

Results
symmetry: No. 47



2.
Computed, not measured: a relaxed CdTcPb crystal at the GGA-PBE level of DFT.

abc: 7.352 7.348 3.101
angles: 77.88 77.77 24.35
Site moments in Bohr magnetons follow the coordinates.
Atoms (fractional coordinates):
Cd 0.029 0.029 0.971  0.01
Pb 0.309 0.309 0.691  -0.03
Tc 0.662 0.662 0.338  1.29

Results
symmetry: No. 42
energy relative to the lowest polymorph listed for this composition: 0.005 eV per atom



3.
Computed, not measured: a relaxed La2MgAg crystal at the GGA-PBE level of DFT.

abc: 8.874 8.874 7.033
angles: 50.88 50.88 90.00
Atoms (fractional coordinates):
Ag 0.750 0.250 0.500
La 0.083 0.625 0.250
Ag 0.000 0.000 0.000
La 0.667 0.125 0.250
Mg 0.250 0.750 0.500
Mg 0.500 0.500 0.000
La 0.375 0.333 0.750
La 0.875 0.917 0.750

Results
symmetry: No. 122



no.,density (g/cm3),E_tot (eV/cell),DFT formation energy (eV per atom)
1,16.77,-95.5,-0.0997
2,10.28,-13.2,0.5928
3,5.44,-27.8,0.0973